Density functional theory data (PBE) for a relaxed structure of Ni3SnH.

a = 9.837 Å, b = 9.837 Å, c = 9.837 Å
α = 90.00°, β = 90.00°, γ = 90.00°
Space group Fd-3m (No. 227, origin choice 2)
Asymmetric unit:
Ni 0.059 0.375 0.375 [48 per cell]
Sn 0.000 0.000 0.500 [16 per cell]
H 0.000 0.000 0.000 [16 per cell]

The calculation puts the excess energy over the best structure of this formula in the dataset at 136 meV/atom. As for the density of states at the Fermi level: 0.71 states/eV/atom. As for the uncorrected energy: -4.997 eV/atom.